# Cd2CoIrO6, optimized geometry, DFT GGA+U
# - space group = R-3, No. 148
# - E_tot (eV/cell) = -53.878
data_Cd2CoIrO6
_cell_length_a 5.5016
_cell_length_b 5.5016
_cell_length_c 5.5016
_cell_angle_alpha 60.25
_cell_angle_beta 60.25
_cell_angle_gamma 60.25
_space_group_name_H-M_alt 'P 1'
_space_group_IT_number 1
_space_group_name_Hall 'P 1'
loop_
_atom_site_label
_atom_site_type_symbol
_atom_site_fract_x
_atom_site_fract_y
_atom_site_fract_z
Cd1 Cd 0.2445 0.2445 0.2445
Cd2 Cd 0.7555 0.7555 0.7555
Co1 Co 0.5000 0.5000 0.5000
Ir1 Ir 0.0000 0.0000 0.0000
O1 O 0.1406 0.3414 0.7661
O2 O 0.2339 0.8594 0.6586
O3 O 0.3414 0.7661 0.1406
O4 O 0.6586 0.2339 0.8594
O5 O 0.7661 0.1406 0.3414
O6 O 0.8594 0.6586 0.2339